1.
A plane-wave DFT calculation with PBE-GGA was carried out for a relaxed Rb3U3PdS8 crystal.

**E_form (uncorrected)**: -1.212 eV/atom
**Magnetic moment**: 5.8 μB/f.u.
**Final energy**: -6.211 eV/atom

The structure in extended XYZ format:
```
15
Lattice="6.7017 -4.0265 0.0000 6.7017 4.0265 0.0000 -4.3156 0.0000 7.8227" Properties=species:S:1:pos:R:3 pbc="T T T"
Rb 0.0000 0.0000 0.0000
Rb 3.3509 2.0132 0.0000
Rb 3.3509 -2.0132 0.0000
U 1.1931 2.0132 3.9114
U 1.1931 -2.0132 3.9114
U 4.5439 0.0000 3.9114
Pd -2.1578 0.0000 3.9114
S -0.0256 0.0000 5.2590
S 3.3540 1.8518 5.4401
S 2.2751 0.0000 2.3825
S 5.7338 1.8518 2.3826
S 3.3540 -1.8518 5.4401
S 6.8127 0.0000 5.4402
S 5.7338 -1.8518 2.3826
S 9.1135 0.0000 2.5637
```


2.
A plane-wave DFT calculation with PBE-GGA was carried out for a relaxed SbMoAs crystal.

**E_form (uncorrected)**: 0.298 eV/atom
**Magnetic moment**: 0.0 μB/f.u.
**Final energy**: -6.236 eV/atom
**ΔE to the lowest computed polymorph**: 29.11 kJ/mol of atoms

The structure in extended XYZ format:
```
3
Lattice="4.4529 0.0000 0.0000 -2.2264 3.8563 0.0000 0.0000 0.0000 3.3961" Properties=species:S:1:pos:R:3 pbc="T T T"
Sb 0.0000 0.0000 0.0000
Mo 2.2264 1.2854 1.6981
As 0.0000 2.5709 1.6981
```